Record 1
DFT (SCAN) results for a crystal of MoPO5 relaxed with PBEsol.

Summary:
uncorrected formation energy	-2239	meV per atom
symmetry	No. 15
polymorph energy (0 for the lowest one)	0.95	kcal/mol of atoms

Cell: 5.2474 5.2474 7.4164 Å, 69.08 69.08 91.54°
Fractional coordinates of all 14 atoms:
1 Mo 0.7254 0.2252 0.0231
2 Mo 0.2252 0.7254 0.5231
3 P 0.8442 0.6063 0.2732
4 P 0.6063 0.8442 0.7732
5 O 0.0336 0.4171 0.7732
6 O 0.4171 0.0336 0.2732
7 O 0.9068 0.9027 0.1036
8 O 0.9027 0.9068 0.6036
9 O 0.0540 0.5751 0.3763
10 O 0.5751 0.0540 0.8763
11 O 0.8754 0.3962 0.1703
12 O 0.3962 0.8754 0.6703
13 O 0.5477 0.5440 0.4427
14 O 0.5440 0.5477 0.9427


Record 2
DFT (SCAN) results for a crystal of ZrSeI3 relaxed with PBEsol.

Summary:
uncorrected formation energy	-952	meV per atom
symmetry	No. 15

Cell: 7.2265 8.0342 14.0791 Å, 85.43 79.80 63.27°
Fractional coordinates of all 20 atoms:
1 I 0.7391 0.2049 0.0380
2 I 0.0559 0.2049 0.4620
3 I 0.2609 0.7951 0.9620
4 I 0.9441 0.7951 0.5380
5 I 0.7729 0.6911 0.0872
6 I 0.5361 0.6911 0.4128
7 I 0.2271 0.3089 0.9128
8 I 0.4639 0.3089 0.5872
9 I 0.6981 0.1007 0.3071
10 I 0.2012 0.1007 0.1929
11 I 0.3019 0.8993 0.6929
12 I 0.7988 0.8993 0.8071
13 Se 0.3395 0.6225 0.2014
14 Se 0.0380 0.6225 0.2986
15 Se 0.6605 0.3775 0.7986
16 Se 0.9620 0.3775 0.7014
17 Zr 0.9790 0.8684 0.1455
18 Zr 0.1525 0.8684 0.3545
19 Zr 0.0210 0.1316 0.8545
20 Zr 0.8475 0.1316 0.6455


Record 3
DFT (SCAN) results for a crystal of SiMoIr relaxed with PBEsol.

Summary:
uncorrected formation energy	-452	meV per atom
symmetry	No. 187
polymorph energy (0 for the lowest one)	0.00	kcal/mol of atoms

Cell: 2.7587 4.1749 4.1749 Å, 120.00 90.00 90.00°
Fractional coordinates of all 3 atoms:
1 Ir 0.5000 0.0000 0.0000
2 Mo 0.0000 0.3333 0.6667
3 Si 0.5000 0.6667 0.3333